Computed, not measured: an optimized crystal structure of LaNiCl at the PBE level of DFT.

Values from the calculation:
formation energy (no corrections): -495 meV/atom
calculated total energy: -56.2 eV per cell
crystal system: cubic

Unit cell a=6.574 b=6.574 c=6.574 alpha=90.00 beta=90.00 gamma=90.00
Space group F-43m (No. 216)
Asymmetric unit:
La 0.000 0.000 0.000
Ni 0.000 0.000 0.500
Cl 0.250 0.250 0.750